This record from Alexandria via LeMat-Bulk describes a relaxed CdPb2Au crystal. The functional is PBE.

Cell lengths 3.600, 3.600, 7.943 Å; angles 90.00, 90.00, 90.00 degrees
Element x y z (fractional)
Cd1 0.000 0.000 0.000
Pb1 0.000 0.000 0.584
Pb2 0.500 0.500 0.262
Au1 0.500 0.500 0.820

The formation energy from the elements is -0.046 eV per atom. The total magnetization is 0.0 μB/f.u. The space-group type is No. 99.

This record from Alexandria via LeMat-Bulk describes a relaxed KTc3Pb crystal. The functional is PBE.

Cell lengths 5.261, 5.261, 5.261 Å; angles 90.00, 90.00, 90.00 degrees
Element x y z (fractional)
K1 0.000 0.000 0.000
Tc1 0.000 0.500 0.500
Tc2 0.500 0.000 0.500
Tc3 0.500 0.500 0.000
Pb1 0.500 0.500 0.500

The formation energy from the elements is 2.216 eV per atom. The total magnetization is 7.8 μB/f.u. Its offset from the most stable computed form is 0.00 eV per formula unit. The space-group type is No. 221.

This record from Alexandria via LeMat-Bulk describes a relaxed Ti2CrSe4 crystal. The functional is PBE.

Cell lengths 13.546, 3.577, 6.290 Å; angles 90.00, 116.77, 90.00 degrees
Element x y z (fractional)
Ti1 0.248 0.000 0.220
Ti2 0.252 0.500 0.780
Ti3 0.748 0.500 0.220
Ti4 0.752 0.000 0.780
Cr1 0.000 0.500 0.500
Cr2 0.500 0.000 0.500
Se1 0.115 0.500 0.952
Se2 0.128 0.000 0.462
Se3 0.372 0.500 0.538
Se4 0.385 0.000 0.048
Se5 0.615 0.000 0.952
Se6 0.628 0.500 0.462
Se7 0.872 0.000 0.538
Se8 0.885 0.500 0.048

The total magnetization is 3.0 μB/f.u. For the raw formation energy, the calculation gives -0.97 eV per atom. The space-group type is No. 12.

This record from Alexandria via LeMat-Bulk describes a relaxed ZnCu3Pd5 crystal. The functional is PBE.

Cell lengths 5.557, 5.557, 9.641 Å; angles 94.33, 94.33, 81.74 degrees
Element x y z (fractional)
Zn1 0.033 0.033 0.257
Zn2 0.967 0.967 0.743
Cu1 0.000 0.000 0.000
Cu2 0.000 0.000 0.500
Cu3 0.251 0.251 0.883
Cu4 0.289 0.289 0.462
Cu5 0.711 0.711 0.538
Cu6 0.749 0.749 0.117
Pd1 0.015 0.604 0.332
Pd2 0.275 0.275 0.143
Pd3 0.321 0.679 0.000
Pd4 0.396 0.985 0.668
Pd5 0.462 0.462 0.694
Pd6 0.538 0.538 0.306
Pd7 0.604 0.015 0.332
Pd8 0.679 0.321 0.000
Pd9 0.725 0.725 0.857
Pd10 0.985 0.396 0.668

The formation energy from the elements is 0.177 eV per atom. The total magnetization is 0.0 μB/f.u. The space-group type is No. 12.

This record from Alexandria via LeMat-Bulk describes a relaxed Cs2LiSbTe4 crystal. The functional is PBE.

Cell lengths 16.042, 14.445, 8.483 Å; angles 84.55, 63.68, 31.76 degrees
Element x y z (fractional)
Cs1 0.058 0.058 0.692
Cs2 0.308 0.308 0.942
Cs3 0.692 0.692 0.058
Cs4 0.942 0.942 0.308
Li1 0.125 0.125 0.125
Li2 0.875 0.875 0.875
Sb1 0.375 0.375 0.375
Sb2 0.625 0.625 0.625
Te1 0.017 0.342 0.440
Te2 0.299 0.560 0.658
Te3 0.342 0.017 0.701
Te4 0.440 0.701 0.017
Te5 0.560 0.299 0.983
Te6 0.658 0.983 0.299
Te7 0.701 0.440 0.342
Te8 0.983 0.658 0.560

The total magnetization is 0.0 μB/f.u. For the raw formation energy, the calculation gives -0.62 eV per atom. The space-group type is No. 70.

This record from Alexandria via LeMat-Bulk describes a relaxed HfReSi2 crystal. The functional is PBE.

Cell lengths 9.181, 10.078, 8.086 Å; angles 90.00, 90.00, 90.00 degrees
Element x y z (fractional)
Hf1 0.170 0.179 0.000
Hf2 0.174 0.451 0.247
Hf3 0.174 0.451 0.753
Hf4 0.326 0.951 0.247
Hf5 0.326 0.951 0.753
Hf6 0.330 0.679 0.000
Hf7 0.670 0.321 0.000
Hf8 0.674 0.049 0.247
Hf9 0.674 0.049 0.753
Hf10 0.826 0.549 0.247
Hf11 0.826 0.549 0.753
Hf12 0.830 0.821 0.000
Re1 0.000 0.000 0.244
Re2 0.000 0.000 0.756
Re3 0.086 0.739 0.249
Re4 0.086 0.739 0.751
Re5 0.414 0.239 0.249
Re6 0.414 0.239 0.751
Re7 0.500 0.500 0.244
Re8 0.500 0.500 0.756
Re9 0.586 0.761 0.249
Re10 0.586 0.761 0.751
Re11 0.914 0.261 0.249
Re12 0.914 0.261 0.751
Si1 0.034 0.614 0.000
Si2 0.037 0.614 0.500
Si3 0.126 0.905 0.500
Si4 0.132 0.899 0.000
Si5 0.166 0.181 0.354
Si6 0.166 0.181 0.646
Si7 0.334 0.681 0.354
Si8 0.334 0.681 0.646
Si9 0.368 0.399 0.000
Si10 0.374 0.405 0.500
Si11 0.463 0.114 0.500
Si12 0.466 0.114 0.000
Si13 0.534 0.886 0.000
Si14 0.537 0.886 0.500
Si15 0.626 0.595 0.500
Si16 0.632 0.601 0.000
Si17 0.666 0.319 0.354
Si18 0.666 0.319 0.646
Si19 0.834 0.819 0.354
Si20 0.834 0.819 0.646
Si21 0.868 0.101 0.000
Si22 0.874 0.095 0.500
Si23 0.963 0.386 0.500
Si24 0.966 0.386 0.000

The total magnetization is 0.0 μB/f.u. For the raw formation energy, the calculation gives -0.62 eV per atom. The space-group type is No. 55.

This record from Alexandria via LeMat-Bulk describes a relaxed Li3Y3VS8 crystal. The functional is PBE.

Cell lengths 7.570, 7.570, 7.570 Å; angles 60.74, 60.74, 60.74 degrees
Element x y z (fractional)
Li1 0.000 0.500 0.500
Li2 0.500 0.000 0.500
Li3 0.500 0.500 0.000
Y1 0.000 0.000 0.500
Y2 0.000 0.500 0.000
Y3 0.500 0.000 0.000
V1 0.500 0.500 0.500
S1 0.252 0.252 0.252
S2 0.272 0.272 0.722
S3 0.272 0.722 0.272
S4 0.278 0.728 0.728
S5 0.722 0.272 0.272
S6 0.728 0.278 0.728
S7 0.728 0.728 0.278
S8 0.748 0.748 0.748

The total magnetization is 1.0 μB/f.u. For the raw formation energy, the calculation gives -1.59 eV per atom. The space-group type is No. 166.

This record from Alexandria via LeMat-Bulk describes a relaxed ZrAsBr crystal. The functional is PBE.

Cell lengths 6.536, 6.536, 6.536 Å; angles 90.00, 90.00, 90.00 degrees
Element x y z (fractional)
Zr1 0.000 0.000 0.000
Zr2 0.000 0.500 0.500
Zr3 0.500 0.000 0.500
Zr4 0.500 0.500 0.000
As1 0.000 0.000 0.500
As2 0.000 0.500 0.000
As3 0.500 0.000 0.000
As4 0.500 0.500 0.500
Br1 0.250 0.250 0.750
Br2 0.250 0.750 0.250
Br3 0.750 0.250 0.250
Br4 0.750 0.750 0.750

The total magnetization is 0.0 μB/f.u. For the raw formation energy, the calculation gives 0.14 eV per atom. Its offset from the most stable computed form is 3.16 eV per formula unit. The space-group type is No. 216.

This record from Alexandria via LeMat-Bulk describes a relaxed TmGeAu2 crystal. The functional is PBE.

Cell lengths 3.691, 3.691, 6.022 Å; angles 90.00, 90.00, 90.00 degrees
Element x y z (fractional)
Tm1 0.000 0.000 0.000
Ge1 0.000 0.000 0.500
Au1 0.500 0.500 0.248
Au2 0.500 0.500 0.752

The formation energy from the elements is -0.525 eV per atom. The total magnetization is 0.0 μB/f.u. The space-group type is No. 123.

This record from Alexandria via LeMat-Bulk describes a relaxed GaPRhCl2 crystal. The functional is PBE.

Cell lengths 5.140, 5.140, 4.407 Å; angles 90.00, 90.00, 90.00 degrees
Element x y z (fractional)
Ga1 0.000 0.000 0.000
P1 0.500 0.500 0.000
Rh1 0.500 0.500 0.500
Cl1 0.000 0.500 0.500
Cl2 0.500 0.000 0.500

The total magnetization is 0.0 μB/f.u. For the raw formation energy, the calculation gives -0.07 eV per atom. Its offset from the most stable computed form is 0.00 eV per formula unit. The space-group type is No. 123.

This record from Alexandria via LeMat-Bulk describes a relaxed Pr2InBr crystal. The functional is PBE.

Cell lengths 3.633, 3.633, 8.672 Å; angles 90.00, 90.00, 90.00 degrees
Element x y z (fractional)
Pr1 0.000 0.000 0.243
Pr2 0.000 0.000 0.757
In1 0.500 0.500 0.000
Br1 0.500 0.500 0.500

The total magnetization is 0.0 μB/f.u. For the raw formation energy, the calculation gives -0.80 eV per atom. Its offset from the most stable computed form is 0.05 eV per formula unit. The space-group type is No. 123.

This record from Alexandria via LeMat-Bulk describes a relaxed TbNd4In3 crystal. The functional is PBE.

Cell lengths 4.976, 4.982, 19.140 Å; angles 90.00, 90.00, 90.00 degrees
Element x y z (fractional)
Tb1 0.000 0.000 0.000
Tb2 0.500 0.500 0.500
Nd1 0.000 0.500 0.132
Nd2 0.000 0.500 0.369
Nd3 0.000 0.500 0.631
Nd4 0.000 0.500 0.868
Nd5 0.500 0.000 0.131
Nd6 0.500 0.000 0.368
Nd7 0.500 0.000 0.632
Nd8 0.500 0.000 0.869
In1 0.000 0.000 0.251
In2 0.000 0.000 0.500
In3 0.000 0.000 0.749
In4 0.500 0.500 0.000
In5 0.500 0.500 0.249
In6 0.500 0.500 0.751

The formation energy from the elements is -0.351 eV per atom. The total magnetization is 0.0 μB/f.u. Its offset from the most stable computed form is 0.00 eV per formula unit. The space-group type is No. 71.